(1)
The following is a DFT calculation (PBE) of MnCrPAu after structural relaxation.

ΔH_f (0 K)	0.011	eV/atom
polymorph energy (0 for the lowest one)	147.5	meV per atom
D(E_F)	7.64	states/eV per cell

```
data_MnCrPAu
_chemical_formula_sum 'Mn2 Cr2 P2 Au2'
_symmetry_space_group_name_H-M 'I 4 m m'
_symmetry_Int_Tables_number 107
_symmetry_space_group_name_Hall 'I 4 -2'
_cell_length_a 2.792
_cell_length_b 2.792
_cell_length_c 14.738
_cell_angle_alpha 90.00
_cell_angle_beta 90.00
_cell_angle_gamma 90.00
loop_
_atom_site_label
_atom_site_type_symbol
_atom_site_fract_x
_atom_site_fract_y
_atom_site_fract_z
Mn1 Mn 0.000 0.000 0.000
Cr1 Cr 0.000 0.000 0.608
P1 P 0.000 0.000 0.416
Au1 Au 0.000 0.000 0.244
```

---

(2)
The following is a DFT calculation (PBE) of MnCrPAu after structural relaxation.

ΔH_f (0 K)	-0.048	eV/atom
polymorph energy (0 for the lowest one)	87.7	meV per atom
D(E_F)	4.11	states/eV per cell

```
data_MnCrPAu
_chemical_formula_sum 'Mn1 Cr1 P1 Au1'
_symmetry_space_group_name_H-M 'P 4 m m'
_symmetry_Int_Tables_number 99
_symmetry_space_group_name_Hall 'P 4 -2'
_cell_length_a 2.821
_cell_length_b 2.821
_cell_length_c 6.639
_cell_angle_alpha 90.00
_cell_angle_beta 90.00
_cell_angle_gamma 90.00
loop_
_atom_site_label
_atom_site_type_symbol
_atom_site_fract_x
_atom_site_fract_y
_atom_site_fract_z
Mn1 Mn 0.000 0.000 0.000
Cr1 Cr 0.000 0.000 0.607
P1 P 0.500 0.500 0.818
Au1 Au 0.500 0.500 0.307
```

---

(3)
The following is a DFT calculation (PBE) of MnCrPAu after structural relaxation.

ΔH_f (0 K)	0.015	eV/atom
polymorph energy (0 for the lowest one)	151.5	meV per atom
D(E_F)	3.29	states/eV per cell

```
data_MnCrPAu
_chemical_formula_sum 'Mn2 Cr2 P2 Au2'
_symmetry_space_group_name_H-M 'C 1 m 1'
_symmetry_Int_Tables_number 8
_symmetry_space_group_name_Hall 'C -2y'
_cell_length_a 6.725
_cell_length_b 3.895
_cell_length_c 5.273
_cell_angle_alpha 90.00
_cell_angle_beta 104.26
_cell_angle_gamma 90.00
loop_
_atom_site_label
_atom_site_type_symbol
_atom_site_fract_x
_atom_site_fract_y
_atom_site_fract_z
Mn1 Mn 0.000 0.000 0.000
Cr1 Cr 0.302 0.000 0.844
P1 P 0.180 0.500 0.067
Au1 Au 0.410 0.500 0.496
```

---

(4)
The following is a DFT calculation (PBE) of MnCrPAu after structural relaxation.

ΔH_f (0 K)	0.030	eV/atom
polymorph energy (0 for the lowest one)	165.8	meV per atom
D(E_F)	4.87	states/eV per cell

```
data_MnCrPAu
_chemical_formula_sum 'Mn2 Cr2 P2 Au2'
_symmetry_space_group_name_H-M 'C 1 m 1'
_symmetry_Int_Tables_number 8
_symmetry_space_group_name_Hall 'C -2y'
_cell_length_a 7.241
_cell_length_b 4.099
_cell_length_c 5.121
_cell_angle_alpha 90.00
_cell_angle_beta 120.49
_cell_angle_gamma 90.00
loop_
_atom_site_label
_atom_site_type_symbol
_atom_site_fract_x
_atom_site_fract_y
_atom_site_fract_z
Mn1 Mn 0.000 0.000 0.000
Cr1 Cr 0.219 0.500 0.146
P1 P 0.363 0.000 0.080
Au1 Au 0.367 0.000 0.576
```

---

(5)
The following is a DFT calculation (PBE) of MnCrPAu after structural relaxation.

ΔH_f (0 K)	-0.070	eV/atom
polymorph energy (0 for the lowest one)	65.8	meV per atom
D(E_F)	6.38	states/eV per cell

```
data_MnCrPAu
_chemical_formula_sum 'Mn3 Cr3 P3 Au3'
_symmetry_space_group_name_H-M 'R 3 m'
_symmetry_Int_Tables_number 160
_symmetry_space_group_name_Hall 'R 3 -2"'
_cell_length_a 3.0063
_cell_length_b 3.0063
_cell_length_c 21.8308
_cell_angle_alpha 90.00
_cell_angle_beta 90.00
_cell_angle_gamma 120.00
loop_
_atom_site_label
_atom_site_type_symbol
_atom_site_fract_x
_atom_site_fract_y
_atom_site_fract_z
Mn1 Mn 0.0000 0.0000 0.0000
Cr1 Cr 0.0000 0.0000 0.8646
P1 P 0.0000 0.0000 0.5967
Au1 Au 0.0000 0.0000 0.4331
```

---

(6)
The following is a DFT calculation (PBE) of MnCrPAu after structural relaxation.

ΔH_f (0 K)	-0.136	eV/atom
polymorph energy (0 for the lowest one)	0.0	meV per atom
D(E_F)	5.10	states/eV per cell

```
data_MnCrPAu
_chemical_formula_sum 'Mn2 Cr2 P2 Au2'
_symmetry_space_group_name_H-M 'A m m 2'
_symmetry_Int_Tables_number 38
_symmetry_space_group_name_Hall 'A 2 -2'
_cell_length_a 3.137
_cell_length_b 2.977
_cell_length_c 12.363
_cell_angle_alpha 90.00
_cell_angle_beta 90.00
_cell_angle_gamma 90.00
loop_
_atom_site_label
_atom_site_type_symbol
_atom_site_fract_x
_atom_site_fract_y
_atom_site_fract_z
Mn1 Mn 0.000 0.000 0.000
Cr1 Cr 0.000 0.000 0.295
P1 P 0.500 0.000 0.862
Au1 Au 0.500 0.000 0.635
```

---

(7)
The following is a DFT calculation (PBE) of MnCrPAu after structural relaxation.

ΔH_f (0 K)	0.001	eV/atom
polymorph energy (0 for the lowest one)	136.9	meV per atom
D(E_F)	2.92	states/eV per cell

```
data_MnCrPAu
_chemical_formula_sum 'Mn1 Cr1 P1 Au1'
_symmetry_space_group_name_H-M 'P 1 m 1'
_symmetry_Int_Tables_number 6
_symmetry_space_group_name_Hall 'P -2y'
_cell_length_a 4.256
_cell_length_b 3.012
_cell_length_c 4.676
_cell_angle_alpha 90.00
_cell_angle_beta 101.38
_cell_angle_gamma 90.00
loop_
_atom_site_label
_atom_site_type_symbol
_atom_site_fract_x
_atom_site_fract_y
_atom_site_fract_z
Mn1 Mn 0.000 0.000 0.000
Cr1 Cr 0.418 0.000 0.651
P1 P 0.948 0.500 0.617
Au1 Au 0.534 0.500 0.174
```

---

(8)
The following is a DFT calculation (PBE) of MnCrPAu after structural relaxation.

ΔH_f (0 K)	-0.090	eV/atom
polymorph energy (0 for the lowest one)	46.3	meV per atom
D(E_F)	4.58	states/eV per cell

```
data_MnCrPAu
_chemical_formula_sum 'Mn2 Cr2 P2 Au2'
_symmetry_space_group_name_H-M 'A m m 2'
_symmetry_Int_Tables_number 38
_symmetry_space_group_name_Hall 'A 2 -2'
_cell_length_a 3.184
_cell_length_b 3.019
_cell_length_c 12.193
_cell_angle_alpha 90.00
_cell_angle_beta 90.00
_cell_angle_gamma 90.00
loop_
_atom_site_label
_atom_site_type_symbol
_atom_site_fract_x
_atom_site_fract_y
_atom_site_fract_z
Mn1 Mn 0.000 0.000 0.000
Cr1 Cr 0.000 0.000 0.703
P1 P 0.500 0.000 0.562
Au1 Au 0.500 0.000 0.340
```